Entry 1:
## PrTcPb (GGA-PBE)

Data for PrTcPb after structural relaxation.

CIF file:
```
data_PrTcPb
_cell_length_a 7.0485
_cell_length_b 7.0485
_cell_length_c 7.0485
_cell_angle_alpha 90.00
_cell_angle_beta 90.00
_cell_angle_gamma 90.00
_space_group_name_H-M_alt 'F -4 3 m'
_space_group_IT_number 216
_space_group_name_Hall 'F -4 2 3'
loop_
_atom_site_label
_atom_site_fract_x
_atom_site_fract_y
_atom_site_fract_z
_atom_site_occupancy
Pr1 0.0000 0.0000 0.0000 1
Tc1 0.2500 0.2500 0.2500 1
Pb1 0.2500 0.2500 0.7500 1
```

Summary:
Its energy above the most stable polymorph in this dataset is 0.4439 eV per atom. As for the density: 8.46 g/cm³.

Entry 2:
## Pr3Te2Pb (GGA-PBE)

Data for Pr3Te2Pb after structural relaxation.

CIF file:
```
data_Pr3Te2Pb
_cell_length_a 4.5880
_cell_length_b 6.4387
_cell_length_c 13.6509
_cell_angle_alpha 90.00
_cell_angle_beta 90.00
_cell_angle_gamma 90.00
_space_group_name_H-M_alt 'I m m m'
_space_group_IT_number 71
_space_group_name_Hall '-I 2 2'
loop_
_atom_site_label
_atom_site_fract_x
_atom_site_fract_y
_atom_site_fract_z
_atom_site_occupancy
Pr1 0.0000 0.0000 0.0000 1
Pr2 0.0000 0.0000 0.3364 1
Te1 0.0000 0.5000 0.3329 1
Pb1 0.0000 0.5000 0.0000 1
```

Summary:
As for the total energy: -63.13 eV for the cell shown. As for the density: 7.29 g/cm³.

Entry 3:
## Pr2TePb (GGA-PBE)

Data for Pr2TePb after structural relaxation.

CIF file:
```
data_Pr2TePb
_cell_length_a 6.4578
_cell_length_b 6.4578
_cell_length_c 12.9672
_cell_angle_alpha 90.00
_cell_angle_beta 90.00
_cell_angle_gamma 90.00
_space_group_name_H-M_alt 'I 41/a m d'
_space_group_IT_number 141
loop_
_space_group_symop_operation_xyz
'x,y,z'
'-x,-y,-z'
'-y+1/4,x+3/4,z+1/4'
'y+1/4,-x+3/4,-z+1/4'
'-x+1/2,-y,z+1/2'
'x+1/2,y,-z+1/2'
'y+1/4,-x+1/4,z+3/4'
'-y+1/4,x+1/4,-z+3/4'
'x,-y,-z'
'-x,y,z'
'-y+1/4,-x+1/4,-z+3/4'
'y+1/4,x+1/4,z+3/4'
'-x+1/2,y,-z+1/2'
'x+1/2,-y,z+1/2'
'y+1/4,x+3/4,-z+1/4'
'-y+1/4,-x+3/4,z+1/4'
'x+1/2,y+1/2,z+1/2'
'-x+1/2,-y+1/2,-z+1/2'
'-y+3/4,x+1/4,z+3/4'
'y+3/4,-x+1/4,-z+3/4'
'-x,-y+1/2,z'
'x,y+1/2,-z'
'y+3/4,-x+3/4,z+1/4'
'-y+3/4,x+3/4,-z+1/4'
'x+1/2,-y+1/2,-z+1/2'
'-x+1/2,y+1/2,z+1/2'
'-y+3/4,-x+3/4,-z+1/4'
'y+3/4,x+3/4,z+1/4'
'-x,y+1/2,-z'
'x,-y+1/2,z'
'y+3/4,x+1/4,-z+3/4'
'-y+3/4,-x+1/4,z+3/4'
loop_
_atom_site_label
_atom_site_fract_x
_atom_site_fract_y
_atom_site_fract_z
_atom_site_occupancy
Pr1 0.0000 0.2500 0.1244 1
Te1 0.0000 0.2500 0.3750 1
Pb1 0.0000 0.2500 0.8750 1
```

Summary:
As for the total energy: -82.55 eV for the cell shown. As for the density: 7.57 g/cm³.